La6Sm3Tm PBE-GGA relaxed; total magnetization = 0.00 μB per cell; E above lowest polymorph = 57 meV/atom; DFT total energy = -4.7007 eV per atom; symmetry = Cmc2_1; formation energy from the elements = 118.7 meV/atom
1.0
-1.6668 6.4053 0.4073
-9.8507 -2.8488 4.4887
9.0235 1.9455 6.3319
Sm La Tm
6 12 2
direct
0.4653 0.9450 0.7077 Sm
0.9653 0.0550 0.2923 Sm
0.0805 0.3848 0.6152 Sm
0.4653 0.2923 0.0550 Sm
0.5805 0.6152 0.3848 Sm
0.9653 0.7077 0.9450 Sm
0.0552 0.7135 0.6335 La
0.8663 0.9281 0.5121 La
0.3663 0.0719 0.4879 La
0.8663 0.4879 0.0719 La
0.8609 0.0316 0.9684 La
0.0552 0.3665 0.2865 La
0.1636 0.7171 0.2829 La
0.3609 0.9684 0.0316 La
0.5552 0.6335 0.7135 La
0.5552 0.2865 0.3665 La
0.6636 0.2829 0.7171 La
0.3663 0.5121 0.9281 La
0.1069 0.1890 0.8110 Tm
0.6069 0.8110 0.1890 Tm